Density functional theory data (PBEsol) for crystalline BaPt2W at its relaxed geometry.

Cell: 2.9118 3.8699 7.4131 Å, 90.00 90.00 90.00°
Closest atoms and distances in Å follow each position.
Element x y z (fractional)
Ba 0.0000 0.0000 0.0000  2 Ba 2.91
Pt 0.0000 0.0000 0.5001  4 W 2.65, 6 Pt 2.86-2.91
Pt 0.5000 0.5000 0.2961  1 W 2.58, 4 Pt 2.86
W 0.5000 0.5000 0.6439  5 Pt 2.58-2.65



Density functional theory data (PBEsol) for crystalline Ba2PtW at its relaxed geometry.

Cell: 3.2066 3.2066 9.8172 Å, 90.00 90.00 90.00°
Closest atoms and distances in Å follow each position.
Element x y z (fractional)
Ba 0.0000 0.0000 0.2297  4 Pt 3.20, 4 Ba 3.21, 4 W 3.49
Ba 0.0000 0.0000 0.7703  4 Pt 3.20, 4 Ba 3.21, 4 W 3.49
Pt 0.5000 0.5000 0.0000  8 Ba 3.20, 4 Pt 3.21
W 0.5000 0.5000 0.5000  4 W 3.21, 8 Ba 3.49



Density functional theory data (PBEsol) for crystalline Ba2PtW at its relaxed geometry.

Cell: 5.4555 5.4555 5.4555 Å, 60.00 60.00 60.00°
Closest atoms and distances in Å follow each position.
Element x y z (fractional)
Ba 0.2500 0.2500 0.2500  4 W 3.34, 4 Pt 3.34
Ba 0.7500 0.7500 0.7500  4 Pt 3.34, 4 W 3.34
Pt 0.0000 0.0000 0.0000  8 Ba 3.34
W 0.5000 0.5000 0.5000  8 Ba 3.34



Which ΔE_f belongs to each record? In order, 280 852 1007 meV per atom.
Which total energy belongs to each record? In order, -7.190 -5.415 -5.260 eV per atom.